Entry A
The following is a DFT calculation (SCAN) of Li2FeBr at its PBEsol-relaxed geometry.

POSCAR file:
```
Li2FeBr
1.0
-2.0200 -0.1991 4.1636
-0.4568 -4.0719 2.1602
2.5377 -0.9226 3.7636
Li Br Fe
2 1 1
Direct
0.2500 0.2500 0.2500
0.7500 0.7500 0.7500
0.0000 0.0000 0.0000
0.5000 0.5000 0.5000
```

Results
Its crystal system is cubic.


Entry B
The following is a DFT calculation (SCAN) of Li2FeBr at its PBEsol-relaxed geometry.

POSCAR file:
```
Li2FeBr
1.0
3.1774 0.0000 0.0000
0.0000 3.2931 0.0000
-1.5887 -1.6465 7.0504
Br Li Fe
1 2 1
Direct
0.4570 0.9570 0.9139
0.8097 0.8097 0.6193
0.0360 0.5360 0.0720
0.1974 0.1974 0.3948
```

Results
Its crystal system is orthorhombic.


entry B has the most favorable energy; the next structure is 348 meV per atom above.


Entry A
The following is a DFT calculation (SCAN) of FeMoBr2 at its PBEsol-relaxed geometry.

POSCAR file:
```
FeMoBr2
1.0
3.1449 0.0000 0.0000
1.5724 2.7236 0.0000
1.5724 0.9079 8.3794
Br Fe Mo
2 1 1
Direct
0.9073 0.9073 0.2781
0.0927 0.0927 0.7219
0.0000 0.0000 0.0000
0.5000 0.5000 0.5000
```

Results
Its crystal system is trigonal.


Entry B
The following is a DFT calculation (SCAN) of FeMoBr2 at its PBEsol-relaxed geometry.

POSCAR file:
```
FeMoBr2
1.0
-0.8908 -0.5567 2.9932
2.0777 -2.3909 0.1737
4.4044 3.9763 2.0504
Fe Mo Br
1 1 2
Direct
0.5000 0.5000 0.0000
0.5000 0.5000 0.5000
0.0000 0.0000 0.2472
0.0000 0.0000 0.7528
```

Results
Its crystal system is tetragonal.


entry A has the most favorable energy; the next structure is 217 meV per atom above.


Entry A
The following is a DFT calculation (SCAN) of FeOsBr2 at its PBEsol-relaxed geometry.

POSCAR file:
```
FeOsBr2
1.0
3.2789 0.0000 0.0000
0.0000 3.2789 0.0000
0.0000 0.0000 7.1834
Os Fe Br
1 1 2
Direct
0.5000 0.5000 0.6885
0.0000 0.0000 0.5484
0.5000 0.5000 0.3331
0.0000 0.0000 0.9300
```

Results
Its crystal system is tetragonal.


Entry B
The following is a DFT calculation (SCAN) of FeOsBr2 at its PBEsol-relaxed geometry.

POSCAR file:
```
FeOsBr2
1.0
-0.4345 -0.4509 2.9943
-2.1695 -1.9330 0.9567
4.3344 -6.7001 1.1826
Br Os Fe
2 1 1
Direct
0.2429 0.2429 0.2714
0.7571 0.7571 0.7286
0.0000 0.0000 0.0000
0.5000 0.5000 0.5000
```

Results
Its crystal system is trigonal.


entry A has the most favorable energy; the next structure is 526 meV per atom above.


Entry A
The following is a DFT calculation (SCAN) of FeOs3Br at its PBEsol-relaxed geometry.

POSCAR file:
```
FeOs3Br
1.0
4.4717 0.0000 0.0000
0.0000 4.4717 0.0000
0.0000 0.0000 4.4717
Os Fe Br
3 1 1
Direct
0.0000 0.0000 0.5000
0.5000 0.0000 0.0000
0.0000 0.5000 0.0000
0.5000 0.5000 0.5000
0.0000 0.0000 0.0000
```

Results
Its crystal system is cubic.


Entry B
The following is a DFT calculation (SCAN) of FeOs3Br at its PBEsol-relaxed geometry.

POSCAR file:
```
FeOs3Br
1.0
4.4241 0.0000 0.0000
0.0000 4.4241 0.0000
0.0000 0.0000 4.4241
Os Fe Br
3 1 1
Direct
0.5000 0.0000 0.0000
0.0000 0.5000 0.0000
0.0000 0.0000 0.5000
0.0000 0.0000 0.0000
0.5000 0.5000 0.5000
```

Results
Its crystal system is cubic.


entry B has the most favorable energy; the next structure is 246 meV per atom above.


Entry A
The following is a DFT calculation (SCAN) of Fe2PBr at its PBEsol-relaxed geometry.

POSCAR file:
```
Fe2PBr
1.0
2.9577 0.0000 0.0000
0.0000 2.9577 0.0000
0.0000 0.0000 6.2533
Br Fe P
1 2 1
Direct
0.5000 0.5000 0.5000
0.0000 0.0000 0.1828
0.0000 0.0000 0.8172
0.5000 0.5000 0.0000
```

Results
Its crystal system is tetragonal.


Entry B
The following is a DFT calculation (SCAN) of Fe2PBr at its PBEsol-relaxed geometry.

POSCAR file:
```
Fe2PBr
1.0
2.9068 0.0000 0.0000
0.0000 4.1612 0.0000
0.0000 0.0000 4.1612
Br P Fe
1 1 2
Direct
0.5000 0.0000 0.0000
0.5000 0.5000 0.5000
0.0000 0.0000 0.5000
0.0000 0.5000 0.0000
```

Results
Its crystal system is tetragonal.


entry A has the most favorable energy; the next structure is 327 meV per atom above.


Entry A
The following is a DFT calculation (SCAN) of FePtBr2 at its PBEsol-relaxed geometry.

POSCAR file:
```
FePtBr2
1.0
-1.7152 -2.3775 1.1696
1.2086 -1.9419 -2.1750
5.2187 -1.6247 4.3505
Br Fe Pt
2 1 1
Direct
0.0000 0.0000 0.2268
0.0000 0.0000 0.7732
0.5000 0.5000 0.0000
0.5000 0.5000 0.5000
```

Results
Its crystal system is tetragonal.


Entry B
The following is a DFT calculation (SCAN) of FePtBr2 at its PBEsol-relaxed geometry.

POSCAR file:
```
FePtBr2
1.0
3.3848 0.1189 0.0000
-1.5450 3.0140 0.0000
0.0000 0.0000 8.2749
Br Pt Fe
2 1 1
Direct
0.5000 0.5000 0.6759
0.0000 0.0000 0.0683
0.5000 0.5000 0.2858
0.0000 0.0000 0.4701
```

Results
Its crystal system is orthorhombic.


entry B has the most favorable energy; the next structure is 654 meV per atom above.